Computed, not measured: a geometry-optimized PrEr3S4 structure at the PBE-GGA level of DFT.

Computed properties:
The calculation puts the density of states at the Fermi level at 9.16 states/eV per cell. Its formation energy (no corrections) is -1.960 eV/atom. For the total energy, the calculation gives -6.33 eV/atom.

CIF file:
```
data_PrEr3S4
_symmetry_space_group_name_H-M 'C m m m'
_symmetry_Int_Tables_number 65
_symmetry_space_group_name_Hall '-C 2 2'
_cell_length_a 7.961
_cell_length_b 11.113
_cell_length_c 3.875
_cell_angle_alpha 90.00
_cell_angle_beta 90.00
_cell_angle_gamma 90.00
loop_
_atom_site_label
_atom_site_fract_x
_atom_site_fract_y
_atom_site_fract_z
_atom_site_occupancy
Pr1 0.000 0.000 0.000 1
Er1 0.000 0.500 0.000 1
Er2 0.250 0.250 0.500 1
S1 0.000 0.257 0.000 1
S2 0.235 0.500 0.500 1
```



Computed, not measured: a geometry-optimized PrErS2 structure at the PBE-GGA level of DFT.

Computed properties:
The calculation puts the density of states at the Fermi level at 3.51 states/eV per cell. Its formation energy (no corrections) is -1.924 eV/atom. For the total energy, the calculation gives -6.32 eV/atom. The calculation puts the excess energy over the best structure of this formula in the dataset at 76.3 meV/atom.

CIF file:
```
data_PrErS2
_symmetry_space_group_name_H-M 'R 3 m'
_symmetry_Int_Tables_number 160
_symmetry_space_group_name_Hall 'R 3 -2"'
_cell_length_a 3.8693
_cell_length_b 3.8693
_cell_length_c 21.0331
_cell_angle_alpha 90.00
_cell_angle_beta 90.00
_cell_angle_gamma 120.00
loop_
_atom_site_label
_atom_site_fract_x
_atom_site_fract_y
_atom_site_fract_z
_atom_site_occupancy
Pr1 0.0000 0.0000 0.0000 1
Er1 0.0000 0.0000 0.1777 1
S1 0.0000 0.0000 0.4272 1
S2 0.0000 0.0000 0.5839 1
```



Computed, not measured: a geometry-optimized Pr4Er3S8 structure at the PBE-GGA level of DFT.

Computed properties:
The calculation puts the density of states at the Fermi level at 21.06 states/eV per cell. Its formation energy (no corrections) is -1.798 eV/atom. For the total energy, the calculation gives -6.19 eV/atom. The calculation puts the excess energy over the best structure of this formula in the dataset at 193.8 meV/atom.

CIF file:
```
data_Pr4Er3S8
_symmetry_space_group_name_H-M 'R -3 m'
_symmetry_Int_Tables_number 166
_symmetry_space_group_name_Hall '-R 3 2"'
_cell_length_a 7.8056
_cell_length_b 7.8056
_cell_length_c 22.2350
_cell_angle_alpha 90.00
_cell_angle_beta 90.00
_cell_angle_gamma 120.00
loop_
_atom_site_label
_atom_site_fract_x
_atom_site_fract_y
_atom_site_fract_z
_atom_site_occupancy
Pr1 0.0000 0.0000 0.0000 1
Pr2 0.0000 0.0000 0.1488 1
Pr3 0.0000 0.0000 0.5000 1
Er1 0.0000 0.5000 0.0000 1
S1 0.0000 0.0000 0.2716 1
S2 0.0101 0.5050 0.2559 1
```



Computed, not measured: a geometry-optimized PrErS2 structure at the PBE-GGA level of DFT.

Computed properties:
The calculation puts the density of states at the Fermi level at 2.83 states/eV per cell. Its formation energy (no corrections) is -2.000 eV/atom. For the total energy, the calculation gives -6.40 eV/atom. The calculation puts the excess energy over the best structure of this formula in the dataset at 0.0 meV/atom.

CIF file:
```
data_PrErS2
_symmetry_space_group_name_H-M 'C 1 2/m 1'
_symmetry_Int_Tables_number 12
_cell_length_a 6.812
_cell_length_b 3.944
_cell_length_c 7.051
_cell_angle_alpha 90.00
_cell_angle_beta 108.85
_cell_angle_gamma 90.00
loop_
_symmetry_equiv_pos_as_xyz
'x,y,z'
'-x,-y,-z'
'-x,y,-z'
'x,-y,z'
'x+1/2,y+1/2,z'
'-x+1/2,-y+1/2,-z'
'-x+1/2,y+1/2,-z'
'x+1/2,-y+1/2,z'
loop_
_atom_site_label
_atom_site_fract_x
_atom_site_fract_y
_atom_site_fract_z
_atom_site_occupancy
Pr1 0.000 0.000 0.000 1
Er1 0.000 0.500 0.500 1
S1 0.242 0.000 0.726 1
```



Computed, not measured: a geometry-optimized PrErS3 structure at the PBE-GGA level of DFT.

Computed properties:
Its formation energy (no corrections) is -2.073 eV/atom. For the total energy, the calculation gives -6.42 eV/atom. The calculation puts the excess energy over the best structure of this formula in the dataset at 5.2 meV/atom.

CIF file:
```
data_PrErS3
_symmetry_space_group_name_H-M 'P n m a'
_symmetry_Int_Tables_number 62
_cell_length_a 7.417
_cell_length_b 4.001
_cell_length_c 15.375
_cell_angle_alpha 90.00
_cell_angle_beta 90.00
_cell_angle_gamma 90.00
loop_
_symmetry_equiv_pos_as_xyz
'x,y,z'
'-x,-y,-z'
'-x+1/2,-y,z+1/2'
'x+1/2,y,-z+1/2'
'x+1/2,-y+1/2,-z+1/2'
'-x+1/2,y+1/2,z+1/2'
'-x,y+1/2,-z'
'x,-y+1/2,z'
loop_
_atom_site_label
_atom_site_fract_x
_atom_site_fract_y
_atom_site_fract_z
_atom_site_occupancy
Pr1 0.143 0.250 0.200 1
Er1 0.229 0.750 0.457 1
S1 0.012 0.250 0.396 1
S2 0.126 0.750 0.060 1
S3 0.150 0.250 0.786 1
```



Computed, not measured: a geometry-optimized PrErSbS structure at the PBE-GGA level of DFT.

Computed properties:
The calculation puts the density of states at the Fermi level at 5.09 states/eV per cell. Its formation energy (no corrections) is -1.402 eV/atom. For the total energy, the calculation gives -5.80 eV/atom.

CIF file:
```
data_PrErSbS
_symmetry_space_group_name_H-M 'R 3 m'
_symmetry_Int_Tables_number 160
_symmetry_space_group_name_Hall 'R 3 -2"'
_cell_length_a 4.1173
_cell_length_b 4.1173
_cell_length_c 22.3551
_cell_angle_alpha 90.00
_cell_angle_beta 90.00
_cell_angle_gamma 120.00
loop_
_atom_site_label
_atom_site_fract_x
_atom_site_fract_y
_atom_site_fract_z
_atom_site_occupancy
Pr1 0.0000 0.0000 0.0000 1
Er1 0.0000 0.0000 0.1612 1
Sb1 0.0000 0.0000 0.5754 1
S1 0.0000 0.0000 0.7548 1
```



Computed, not measured: a geometry-optimized PrEr2ScS4 structure at the PBE-GGA level of DFT.

Computed properties:
The calculation puts the density of states at the Fermi level at 4.77 states/eV per cell. Its formation energy (no corrections) is -1.913 eV/atom. For the total energy, the calculation gives -6.51 eV/atom.

CIF file:
```
data_PrEr2ScS4
_symmetry_space_group_name_H-M 'P 1 2/m 1'
_symmetry_Int_Tables_number 10
_cell_length_a 6.729
_cell_length_b 3.848
_cell_length_c 6.823
_cell_angle_alpha 90.00
_cell_angle_beta 108.87
_cell_angle_gamma 90.00
loop_
_symmetry_equiv_pos_as_xyz
'x,y,z'
'-x,-y,-z'
'-x,y,-z'
'x,-y,z'
loop_
_atom_site_label
_atom_site_fract_x
_atom_site_fract_y
_atom_site_fract_z
_atom_site_occupancy
Pr1 0.000 0.000 0.000 1
Er1 0.500 0.000 0.500 1
Er2 0.500 0.500 0.000 1
Sc1 0.000 0.500 0.500 1
S1 0.249 0.000 0.736 1
S2 0.261 0.500 0.268 1
```



Computed, not measured: a geometry-optimized Pr3Er3ScS8 structure at the PBE-GGA level of DFT.

Computed properties:
The calculation puts the density of states at the Fermi level at 21.72 states/eV per cell. Its formation energy (no corrections) is -2.022 eV/atom. For the total energy, the calculation gives -6.51 eV/atom.

CIF file:
```
data_Pr3Er3ScS8
_symmetry_space_group_name_H-M 'R -3 m'
_symmetry_Int_Tables_number 166
_symmetry_space_group_name_Hall '-R 3 2"'
_cell_length_a 7.8395
_cell_length_b 7.8395
_cell_length_c 19.7739
_cell_angle_alpha 90.00
_cell_angle_beta 90.00
_cell_angle_gamma 120.00
loop_
_atom_site_label
_atom_site_fract_x
_atom_site_fract_y
_atom_site_fract_z
_atom_site_occupancy
Pr1 0.0000 0.5000 0.0000 1
Er1 0.0000 0.5000 0.5000 1
Sc1 0.0000 0.0000 0.5000 1
S1 0.0000 0.0000 0.2428 1
S2 0.0055 0.5027 0.2418 1
```



Computed, not measured: a geometry-optimized PrErSc2S4 structure at the PBE-GGA level of DFT.

Computed properties:
The calculation puts the density of states at the Fermi level at 4.63 states/eV per cell. Its formation energy (no corrections) is -1.900 eV/atom. For the total energy, the calculation gives -6.71 eV/atom.

CIF file:
```
data_PrErSc2S4
_symmetry_space_group_name_H-M 'P 1 2/m 1'
_symmetry_Int_Tables_number 10
_cell_length_a 6.660
_cell_length_b 3.794
_cell_length_c 6.716
_cell_angle_alpha 90.00
_cell_angle_beta 108.85
_cell_angle_gamma 90.00
loop_
_symmetry_equiv_pos_as_xyz
'x,y,z'
'-x,-y,-z'
'-x,y,-z'
'x,-y,z'
loop_
_atom_site_label
_atom_site_fract_x
_atom_site_fract_y
_atom_site_fract_z
_atom_site_occupancy
Pr1 0.000 0.000 0.000 1
Er1 0.500 0.500 0.000 1
Sc1 0.000 0.500 0.500 1
Sc2 0.500 0.000 0.500 1
S1 0.253 0.000 0.731 1
S2 0.269 0.500 0.277 1
```



Computed, not measured: a geometry-optimized PrErSeS structure at the PBE-GGA level of DFT.

Computed properties:
The calculation puts the density of states at the Fermi level at 4.07 states/eV per cell. Its formation energy (no corrections) is -1.828 eV/atom. For the total energy, the calculation gives -6.07 eV/atom.

CIF file:
```
data_PrErSeS
_symmetry_space_group_name_H-M 'R 3 m'
_symmetry_Int_Tables_number 160
_symmetry_space_group_name_Hall 'R 3 -2"'
_cell_length_a 3.9661
_cell_length_b 3.9661
_cell_length_c 21.3651
_cell_angle_alpha 90.00
_cell_angle_beta 90.00
_cell_angle_gamma 120.00
loop_
_atom_site_label
_atom_site_fract_x
_atom_site_fract_y
_atom_site_fract_z
_atom_site_occupancy
Pr1 0.0000 0.0000 0.0000 1
Er1 0.0000 0.0000 0.8310 1
Se1 0.0000 0.0000 0.4226 1
S1 0.0000 0.0000 0.2412 1
```



Computed, not measured: a geometry-optimized Pr2Er2Se2S3 structure at the PBE-GGA level of DFT.

Computed properties:
The calculation puts the density of states at the Fermi level at 8.19 states/eV per cell. Its formation energy (no corrections) is -1.644 eV/atom. For the total energy, the calculation gives -5.87 eV/atom.

CIF file:
```
data_Pr2Er2Se2S3
_symmetry_space_group_name_H-M 'I 4/m m m'
_symmetry_Int_Tables_number 139
_symmetry_space_group_name_Hall '-I 4 2'
_cell_length_a 5.369
_cell_length_b 5.369
_cell_length_c 15.302
_cell_angle_alpha 90.00
_cell_angle_beta 90.00
_cell_angle_gamma 90.00
loop_
_atom_site_label
_atom_site_fract_x
_atom_site_fract_y
_atom_site_fract_z
_atom_site_occupancy
Pr1 0.000 0.000 0.198 1
Er1 0.000 0.500 0.000 1
Se1 0.000 0.000 0.399 1
S1 0.000 0.000 0.000 1
S2 0.000 0.500 0.250 1
```



Computed, not measured: a geometry-optimized PrSmEr4S8 structure at the PBE-GGA level of DFT.

Computed properties:
The calculation puts the density of states at the Fermi level at 23.82 states/eV per cell. Its formation energy (no corrections) is -1.916 eV/atom. For the total energy, the calculation gives -6.26 eV/atom.

CIF file:
```
data_PrSmEr4S8
_symmetry_space_group_name_H-M 'R 3 m'
_symmetry_Int_Tables_number 160
_symmetry_space_group_name_Hall 'R 3 -2"'
_cell_length_a 8.0575
_cell_length_b 8.0575
_cell_length_c 19.9599
_cell_angle_alpha 90.00
_cell_angle_beta 90.00
_cell_angle_gamma 120.00
loop_
_atom_site_label
_atom_site_fract_x
_atom_site_fract_y
_atom_site_fract_z
_atom_site_occupancy
Pr1 0.0000 0.0000 0.0000 1
Sm1 0.0000 0.0000 0.6256 1
Er1 0.0000 0.0000 0.2521 1
Er2 0.0020 0.5010 0.1268 1
S1 0.0000 0.0000 0.3840 1
S2 0.0000 0.0000 0.8629 1
S3 0.0270 0.5135 0.3834 1
S4 0.1727 0.3455 0.2045 1
```